Here is a relaxed structure of ErTm2Pa from Alexandria. Energies are from PBE-GGA.

Output
Energy of formation in eV per atom: 0.312
ρ in g cm⁻³: 10.5
N(E_F) in states/eV/f.u.: 8.8
Total energy in eV/atom: -5.439
ΔE to the lowest computed polymorph in meV per atom: 215
Magnetic moment in μB/cell: 0.0

Lattice parameters (Å, degrees): 5.4888 5.4888 5.4888 60.00 60.00 60.00
Last column: nearest neighbours and their distance in Å.
Element x y z (fractional)
Er 0.5000 0.5000 0.5000  8 Tm 3.36
Pa 0.0000 0.0000 0.0000  8 Tm 3.36
Tm 0.2500 0.2500 0.2500  4 Pa 3.36, 4 Er 3.36
Tm 0.7500 0.7500 0.7500  4 Pa 3.36, 4 Er 3.36


Here is a relaxed structure of MgSc2Fe from Alexandria. Energies are from PBE-GGA.

Output
Energy of formation in eV per atom: 0.085
ρ in g cm⁻³: 3.5
N(E_F) in states/eV/f.u.: 5.1
Total energy in eV/atom: -5.596
Magnetic moment in μB/cell: 0.4

Lattice parameters (Å, degrees): 9.2525 9.2525 9.2525 20.08 20.08 20.08
Last column: nearest neighbours and their distance in Å.
Element x y z (fractional)
Sc 0.9832 0.9832 0.9832  3 Fe 2.60
Sc 0.5168 0.5168 0.5168  3 Fe 2.60
Mg 0.7500 0.7500 0.7500  6 Mg 3.23, 6 Sc 3.30
Fe 0.2500 0.2500 0.2500  6 Sc 2.60


Here is a relaxed structure of TbCePrTl from Alexandria. Energies are from PBE-GGA.

Output
Energy of formation in eV per atom: 0.005
ρ in g cm⁻³: 9.1
N(E_F) in states/eV/f.u.: 7.3
Total energy in eV/atom: -4.422
Magnetic moment in μB/cell: 0.2

Lattice parameters (Å, degrees): 5.5012 5.5012 5.5012 60.00 60.00 60.00
Last column: nearest neighbours and their distance in Å.
Element x y z (fractional)
Tl 0.5000 0.5000 0.5000  4 Tb 3.37, 4 Pr 3.37
Tb 0.7500 0.7500 0.7500  4 Tl 3.37, 4 Ce 3.37
Ce 0.0000 0.0000 0.0000  4 Pr 3.37, 4 Tb 3.37
Pr 0.2500 0.2500 0.2500  4 Tl 3.37, 4 Ce 3.37


Here is a relaxed structure of AlNi9W2 from Alexandria. Energies are from PBE-GGA.

Output
Energy of formation in eV per atom: -0.133
ρ in g cm⁻³: 10.8
N(E_F) in states/eV/f.u.: 15.7
Total energy in eV/atom: -6.940
Magnetic moment in μB/cell: 0.1

Lattice parameters (Å, degrees): 3.6195 3.6195 10.8363 90.00 90.00 90.00
Last column: nearest neighbours and their distance in Å.
Element x y z (fractional)
Ni 0.0000 0.5000 0.5000  8 Ni 2.56, 4 W 2.60
Ni 0.5000 0.0000 0.8345  2 W 2.52, 8 Ni 2.55-2.57, 2 Al 2.55
Ni 0.5000 0.5000 0.6666  8 Ni 2.56-2.57, 4 W 2.56
Ni 0.5000 0.0000 0.5000  8 Ni 2.56, 4 W 2.60
Ni 0.0000 0.5000 0.8345  2 W 2.52, 8 Ni 2.55-2.57, 2 Al 2.55
Ni 0.5000 0.0000 0.1655  2 W 2.52, 8 Ni 2.55-2.57, 2 Al 2.55
Ni 0.0000 0.5000 0.1655  2 W 2.52, 8 Ni 2.55-2.57, 2 Al 2.55
Ni 0.5000 0.5000 0.3334  8 Ni 2.56-2.57, 4 W 2.56
Ni 0.5000 0.5000 0.0000  8 Ni 2.55, 4 Al 2.56
W 0.0000 0.0000 0.6724  12 Ni 2.52-2.60
W 0.0000 0.0000 0.3276  12 Ni 2.52-2.60
Al 0.0000 0.0000 0.0000  12 Ni 2.55-2.56